## Ca4TlPt2 (GGA-PBE)

Data for crystalline Ca4TlPt2 at its relaxed geometry.

Results
Density of states at the Fermi level in states/eV/cell: 4.98
Calculated total energy in eV for the cell shown: -26.9
Formation enthalpy at 0 K in eV/atom: -0.63

Cell: 10.433 10.433 10.433 Å, 26.66 26.66 26.66°
Atoms (fractional coordinates):
Ca1 0.107 0.107 0.107
Ca2 0.300 0.300 0.300
Ca3 0.700 0.700 0.700
Ca4 0.893 0.893 0.893
Tl1 0.500 0.500 0.500
Pt1 0.403 0.403 0.403
Pt2 0.597 0.597 0.597

***

## TlCr2Hg (GGA-PBE)

Data for crystalline TlCr2Hg at its relaxed geometry.

Results
Density of states at the Fermi level in states/eV/cell: 13.88
Calculated total energy in eV for the cell shown: -57.5
Formation enthalpy at 0 K in eV/atom: 0.68

Cell: 3.281 3.281 26.516 Å, 90.00 90.00 120.00°
Atoms (fractional coordinates):
Tl1 0.000 0.000 0.000
Tl2 0.333 0.667 0.667
Tl3 0.667 0.333 0.333
Cr1 0.000 0.000 0.249
Cr2 0.000 0.000 0.751
Cr3 0.333 0.667 0.418
Cr4 0.333 0.667 0.915
Cr5 0.667 0.333 0.085
Cr6 0.667 0.333 0.582
Hg1 0.000 0.000 0.500
Hg2 0.333 0.667 0.167
Hg3 0.667 0.333 0.833

***

## CeSi7Os3 (GGA-PBE)

Data for crystalline CeSi7Os3 at its relaxed geometry.

Results
Density of states at the Fermi level in states/eV/cell: 11.21
Calculated total energy in eV for the cell shown: -165.8

Cell: 8.041 8.041 8.041 Å, 57.09 57.09 57.09°
Atoms (fractional coordinates):
Ce1 0.000 0.000 0.000
Ce2 0.500 0.500 0.500
Si1 0.062 0.854 0.669
Si2 0.146 0.331 0.938
Si3 0.169 0.354 0.562
Si4 0.250 0.250 0.250
Si5 0.331 0.938 0.146
Si6 0.354 0.562 0.169
Si7 0.438 0.831 0.646
Si8 0.562 0.169 0.354
Si9 0.646 0.438 0.831
Si10 0.669 0.062 0.854
Si11 0.750 0.750 0.750
Si12 0.831 0.646 0.438
Si13 0.854 0.669 0.062
Si14 0.938 0.146 0.331
Os1 0.079 0.750 0.421
Os2 0.250 0.579 0.921
Os3 0.421 0.079 0.750
Os4 0.579 0.921 0.250
Os5 0.750 0.421 0.079
Os6 0.921 0.250 0.579

***

## Ag2HgP (GGA-PBE)

Data for crystalline Ag2HgP at its relaxed geometry.

Results
Density of states at the Fermi level in states/eV/cell: 1.38
Offset from the most stable computed form in meV per atom: 34
Calculated total energy in eV for the cell shown: -10.3
Formation enthalpy at 0 K in eV/atom: 0.29

Cell: 4.194 4.204 4.207 Å, 90.00 90.00 90.00°
Atoms (fractional coordinates):
Ag1 0.000 0.000 0.000
Ag2 0.500 0.500 0.000
Hg1 0.000 0.500 0.500
P1 0.500 0.000 0.500

***

## Cs2NaHg (GGA-PBE)

Data for crystalline Cs2NaHg at its relaxed geometry.

Results
Density of states at the Fermi level in states/eV/cell: 4.46
Offset from the most stable computed form in meV per atom: 1
Calculated total energy in eV for the cell shown: -7.6
Formation enthalpy at 0 K in eV/atom: -0.12

Cell: 5.122 11.773 8.193 Å, 90.00 90.47 90.00°
Atoms (fractional coordinates):
Cs1 0.248 0.056 0.259
Cs2 0.248 0.444 0.259
Cs3 0.752 0.556 0.741
Cs4 0.752 0.944 0.741
Na1 0.255 0.250 0.751
Na2 0.745 0.750 0.249
Hg1 0.249 0.750 0.494
Hg2 0.751 0.250 0.506

***

## Nb3RuN (GGA-PBE)

Data for crystalline Nb3RuN at its relaxed geometry.

Results
Density of states at the Fermi level in states/eV/cell: 9.78
Calculated total energy in eV for the cell shown: -97.8

Cell: 7.170 7.170 7.170 Å, 43.78 43.78 43.78°
Atoms (fractional coordinates):
Nb1 0.099 0.767 0.442
Nb2 0.233 0.558 0.901
Nb3 0.442 0.099 0.767
Nb4 0.558 0.901 0.233
Nb5 0.767 0.442 0.099
Nb6 0.901 0.233 0.558
Ru1 0.336 0.336 0.336
Ru2 0.664 0.664 0.664
N1 0.164 0.164 0.164
N2 0.836 0.836 0.836

***

## PaVOs2 (GGA-PBE)

Data for crystalline PaVOs2 at its relaxed geometry.

Results
Density of states at the Fermi level in states/eV/cell: 3.19
Offset from the most stable computed form in meV per atom: 0
Calculated total energy in eV for the cell shown: -42.3
Formation enthalpy at 0 K in eV/atom: -0.30

Cell: 3.008 3.008 7.332 Å, 90.00 90.00 90.00°
Atoms (fractional coordinates):
Pa1 0.000 0.000 0.000
V1 0.000 0.000 0.500
Os1 0.500 0.500 0.298
Os2 0.500 0.500 0.702

***

## Na14TlBi (GGA-PBE)

Data for crystalline Na14TlBi at its relaxed geometry.

Results
Density of states at the Fermi level in states/eV/cell: 8.58
Calculated total energy in eV for the cell shown: -25.9
Formation enthalpy at 0 K in eV/atom: -0.07

Cell: 7.521 7.521 9.547 Å, 90.00 90.00 90.00°
Atoms (fractional coordinates):
Na1 0.000 0.000 0.000
Na2 0.000 0.500 0.000
Na3 0.000 0.500 0.500
Na4 0.249 0.249 0.279
Na5 0.249 0.249 0.721
Na6 0.249 0.751 0.279
Na7 0.249 0.751 0.721
Na8 0.500 0.000 0.000
Na9 0.500 0.000 0.500
Na10 0.500 0.500 0.000
Na11 0.751 0.249 0.279
Na12 0.751 0.249 0.721
Na13 0.751 0.751 0.279
Na14 0.751 0.751 0.721
Tl1 0.500 0.500 0.500
Bi1 0.000 0.000 0.500

***

## BaP2Br (GGA-PBE)

Data for crystalline BaP2Br at its relaxed geometry.

Results
Density of states at the Fermi level in states/eV/cell: 2.26
Offset from the most stable computed form in meV per atom: 61
Calculated total energy in eV for the cell shown: -35.0

Cell: 11.189 3.684 5.953 Å, 90.00 121.47 90.00°
Atoms (fractional coordinates):
Ba1 0.000 0.000 0.000
Ba2 0.500 0.500 0.000
P1 0.064 0.500 0.563
P2 0.199 0.000 0.695
P3 0.564 0.000 0.563
P4 0.699 0.500 0.695
Br1 0.284 0.500 0.279
Br2 0.784 0.000 0.279

***

## Er2AgGe3Pt4 (GGA-PBE)

Data for crystalline Er2AgGe3Pt4 at its relaxed geometry.

Results
Density of states at the Fermi level in states/eV/cell: 4.54
Calculated total energy in eV for the cell shown: -57.7
Formation enthalpy at 0 K in eV/atom: -0.77

Cell: 4.021 4.021 11.633 Å, 90.00 90.00 90.00°
Atoms (fractional coordinates):
Er1 0.000 0.500 0.249
Er2 0.500 0.000 0.751
Ag1 0.500 0.500 0.000
Ge1 0.000 0.000 0.000
Ge2 0.000 0.500 0.633
Ge3 0.500 0.000 0.367
Pt1 0.000 0.000 0.500
Pt2 0.000 0.500 0.839
Pt3 0.500 0.000 0.161
Pt4 0.500 0.500 0.500

***

## Ta2Hg (GGA-PBE)

Data for crystalline Ta2Hg at its relaxed geometry.

Results
Density of states at the Fermi level in states/eV/cell: 3.37
Calculated total energy in eV for the cell shown: -45.7
Formation enthalpy at 0 K in eV/atom: 0.39

Cell: 4.796 4.796 5.672 Å, 90.00 90.00 120.00°
Atoms (fractional coordinates):
Ta1 0.000 0.000 0.000
Ta2 0.000 0.000 0.500
Ta3 0.333 0.667 0.250
Ta4 0.667 0.333 0.750
Hg1 0.333 0.667 0.750
Hg2 0.667 0.333 0.250

***

## AcPmDyLu (GGA-PBE)

Data for crystalline AcPmDyLu at its relaxed geometry.

Results
Density of states at the Fermi level in states/eV/cell: 26.09
Calculated total energy in eV for the cell shown: -70.2
Formation enthalpy at 0 K in eV/atom: 0.11

Cell: 8.247 8.247 8.247 Å, 90.00 90.00 90.00°
Atoms (fractional coordinates):
Ac1 0.000 0.000 0.000
Ac2 0.000 0.500 0.500
Ac3 0.500 0.000 0.500
Ac4 0.500 0.500 0.000
Pm1 0.000 0.000 0.500
Pm2 0.000 0.500 0.000
Pm3 0.500 0.000 0.000
Pm4 0.500 0.500 0.500
Dy1 0.250 0.250 0.750
Dy2 0.250 0.750 0.250
Dy3 0.750 0.250 0.250
Dy4 0.750 0.750 0.750
Lu1 0.250 0.250 0.250
Lu2 0.250 0.750 0.750
Lu3 0.750 0.250 0.750
Lu4 0.750 0.750 0.250